Arrangement a

# CuP2IO | Alexandria | PBE | optimized geometry
# **Size of the total moment**: 0.0 μB per cell
# **Crystal system**: tetragonal
data_CuP2IO
_chemical_formula_sum 'Cu1 P2 I1 O1'
_space_group_name_H-M_alt 'P 4/m m m'
_space_group_IT_number 123
_space_group_name_Hall '-P 4 2'
_cell_length_a 5.173
_cell_length_b 5.173
_cell_length_c 3.866
_cell_angle_alpha 90.00
_cell_angle_beta 90.00
_cell_angle_gamma 90.00
loop_
_atom_site_label
_atom_site_type_symbol
_atom_site_fract_x
_atom_site_fract_y
_atom_site_fract_z
Cu1 Cu 0.000 0.000 0.000
P1 P 0.000 0.500 0.500
I1 I 0.500 0.500 0.500
O1 O 0.500 0.500 0.000



Arrangement b

# CuP2IO | Alexandria | PBE | optimized geometry
# **Size of the total moment**: 0.0 μB per cell
# **Crystal system**: tetragonal
data_CuP2IO
_chemical_formula_sum 'Cu1 P2 I1 O1'
_space_group_name_H-M_alt 'P 4/m m m'
_space_group_IT_number 123
_space_group_name_Hall '-P 4 2'
_cell_length_a 4.748
_cell_length_b 4.748
_cell_length_c 3.756
_cell_angle_alpha 90.00
_cell_angle_beta 90.00
_cell_angle_gamma 90.00
loop_
_atom_site_label
_atom_site_type_symbol
_atom_site_fract_x
_atom_site_fract_y
_atom_site_fract_z
Cu1 Cu 0.000 0.000 0.000
P1 P 0.000 0.500 0.000
I1 I 0.500 0.500 0.500
O1 O 0.000 0.000 0.500



Stability summary: most stable arrangement b, least stable arrangement a.



Arrangement a

# CuPIO2 | Alexandria | PBE | optimized geometry
# **Size of the total moment**: 0.0 μB per cell
# **Crystal system**: tetragonal
data_CuPIO2
_chemical_formula_sum 'Cu1 P1 I1 O2'
_space_group_name_H-M_alt 'P 4/m m m'
_space_group_IT_number 123
_space_group_name_Hall '-P 4 2'
_cell_length_a 3.745
_cell_length_b 3.745
_cell_length_c 6.615
_cell_angle_alpha 90.00
_cell_angle_beta 90.00
_cell_angle_gamma 90.00
loop_
_atom_site_label
_atom_site_type_symbol
_atom_site_fract_x
_atom_site_fract_y
_atom_site_fract_z
Cu1 Cu 0.000 0.000 0.000
P1 P 0.500 0.500 0.500
I1 I 0.000 0.000 0.500
O1 O 0.000 0.500 0.000



Arrangement b

# CuPIO2 | Alexandria | PBE | optimized geometry
# **Size of the total moment**: 1.9 μB per cell
# **Crystal system**: tetragonal
data_CuPIO2
_chemical_formula_sum 'Cu1 P1 I1 O2'
_space_group_name_H-M_alt 'P 4/m m m'
_space_group_IT_number 123
_space_group_name_Hall '-P 4 2'
_cell_length_a 3.887
_cell_length_b 3.887
_cell_length_c 4.988
_cell_angle_alpha 90.00
_cell_angle_beta 90.00
_cell_angle_gamma 90.00
loop_
_atom_site_label
_atom_site_type_symbol
_atom_site_fract_x
_atom_site_fract_y
_atom_site_fract_z
Cu1 Cu 0.000 0.000 0.000
P1 P 0.000 0.000 0.500
I1 I 0.500 0.500 0.500
O1 O 0.000 0.500 0.000



Arrangement c

# CuPIO2 | Alexandria | PBE | optimized geometry
# **Size of the total moment**: 0.0 μB per cell
# **Crystal system**: tetragonal
data_CuPIO2
_chemical_formula_sum 'Cu1 P1 I1 O2'
_space_group_name_H-M_alt 'P 4/m m m'
_space_group_IT_number 123
_space_group_name_Hall '-P 4 2'
_cell_length_a 3.573
_cell_length_b 3.573
_cell_length_c 6.572
_cell_angle_alpha 90.00
_cell_angle_beta 90.00
_cell_angle_gamma 90.00
loop_
_atom_site_label
_atom_site_type_symbol
_atom_site_fract_x
_atom_site_fract_y
_atom_site_fract_z
Cu1 Cu 0.000 0.000 0.000
P1 P 0.500 0.500 0.500
I1 I 0.500 0.500 0.000
O1 O 0.000 0.500 0.500



Stability summary: most stable arrangement c, least stable arrangement a.



Arrangement a

# CuPI2O | Alexandria | PBE | optimized geometry
# **Size of the total moment**: 0.0 μB per cell
# **Crystal system**: tetragonal
data_CuPI2O
_chemical_formula_sum 'Cu1 P1 I2 O1'
_space_group_name_H-M_alt 'P 4/m m m'
_space_group_IT_number 123
_space_group_name_Hall '-P 4 2'
_cell_length_a 5.577
_cell_length_b 5.577
_cell_length_c 3.552
_cell_angle_alpha 90.00
_cell_angle_beta 90.00
_cell_angle_gamma 90.00
loop_
_atom_site_label
_atom_site_type_symbol
_atom_site_fract_x
_atom_site_fract_y
_atom_site_fract_z
Cu1 Cu 0.000 0.000 0.000
P1 P 0.500 0.500 0.500
I1 I 0.000 0.500 0.500
O1 O 0.500 0.500 0.000



Arrangement b

# CuPI2O | Alexandria | PBE | optimized geometry
# **Size of the total moment**: 0.9 μB per cell
# **Crystal system**: tetragonal
data_CuPI2O
_chemical_formula_sum 'Cu1 P1 I2 O1'
_space_group_name_H-M_alt 'P 4/m m m'
_space_group_IT_number 123
_space_group_name_Hall '-P 4 2'
_cell_length_a 5.476
_cell_length_b 5.476
_cell_length_c 3.625
_cell_angle_alpha 90.00
_cell_angle_beta 90.00
_cell_angle_gamma 90.00
loop_
_atom_site_label
_atom_site_type_symbol
_atom_site_fract_x
_atom_site_fract_y
_atom_site_fract_z
Cu1 Cu 0.000 0.000 0.000
P1 P 0.500 0.500 0.500
I1 I 0.000 0.500 0.000
O1 O 0.000 0.000 0.500



Stability summary: most stable arrangement a, least stable arrangement b.



Arrangement a

# CuPtIO2 | Alexandria | PBE | optimized geometry
# **Size of the total moment**: 2.0 μB per cell
# **Crystal system**: tetragonal
data_CuPtIO2
_chemical_formula_sum 'Cu1 Pt1 I1 O2'
_space_group_name_H-M_alt 'P 4/m m m'
_space_group_IT_number 123
_space_group_name_Hall '-P 4 2'
_cell_length_a 3.749
_cell_length_b 3.749
_cell_length_c 7.016
_cell_angle_alpha 90.00
_cell_angle_beta 90.00
_cell_angle_gamma 90.00
loop_
_atom_site_label
_atom_site_type_symbol
_atom_site_fract_x
_atom_site_fract_y
_atom_site_fract_z
Cu1 Cu 0.000 0.000 0.000
Pt1 Pt 0.500 0.500 0.500
I1 I 0.000 0.000 0.500
O1 O 0.000 0.500 0.000



Arrangement b

# CuPtIO2 | Alexandria | PBE | optimized geometry
# **Size of the total moment**: 0.2 μB per cell
# **Crystal system**: tetragonal
data_CuPtIO2
_chemical_formula_sum 'Cu1 Pt1 I1 O2'
_space_group_name_H-M_alt 'P 4/m m m'
_space_group_IT_number 123
_space_group_name_Hall '-P 4 2'
_cell_length_a 3.783
_cell_length_b 3.783
_cell_length_c 8.302
_cell_angle_alpha 90.00
_cell_angle_beta 90.00
_cell_angle_gamma 90.00
loop_
_atom_site_label
_atom_site_type_symbol
_atom_site_fract_x
_atom_site_fract_y
_atom_site_fract_z
Cu1 Cu 0.000 0.000 0.000
Pt1 Pt 0.500 0.500 0.500
I1 I 0.500 0.500 0.000
O1 O 0.000 0.500 0.500



Stability summary: most stable arrangement b, least stable arrangement a.



Arrangement a

# RbCuIO2 | Alexandria | PBE | optimized geometry
# **Size of the total moment**: 2.0 μB per cell
# **Crystal system**: tetragonal
data_RbCuIO2
_chemical_formula_sum 'Rb1 Cu1 I1 O2'
_space_group_name_H-M_alt 'P 4/m m m'
_space_group_IT_number 123
_space_group_name_Hall '-P 4 2'
_cell_length_a 4.479
_cell_length_b 4.479
_cell_length_c 5.221
_cell_angle_alpha 90.00
_cell_angle_beta 90.00
_cell_angle_gamma 90.00
loop_
_atom_site_label
_atom_site_type_symbol
_atom_site_fract_x
_atom_site_fract_y
_atom_site_fract_z
Rb1 Rb 0.000 0.000 0.000
Cu1 Cu 0.500 0.500 0.500
I1 I 0.500 0.500 0.000
O1 O 0.000 0.500 0.500



Arrangement b

# RbCuIO2 | Alexandria | PBE | optimized geometry
# **Size of the total moment**: 1.2 μB per cell
# **Crystal system**: tetragonal
data_RbCuIO2
_chemical_formula_sum 'Rb1 Cu1 I1 O2'
_space_group_name_H-M_alt 'P 4/m m m'
_space_group_IT_number 123
_space_group_name_Hall '-P 4 2'
_cell_length_a 4.388
_cell_length_b 4.388
_cell_length_c 7.502
_cell_angle_alpha 90.00
_cell_angle_beta 90.00
_cell_angle_gamma 90.00
loop_
_atom_site_label
_atom_site_type_symbol
_atom_site_fract_x
_atom_site_fract_y
_atom_site_fract_z
Rb1 Rb 0.000 0.000 0.000
Cu1 Cu 0.500 0.500 0.500
I1 I 0.000 0.000 0.500
O1 O 0.000 0.500 0.000



Stability summary: most stable arrangement a, least stable arrangement b.



Arrangement a

# RbCuI2O | Alexandria | PBE | optimized geometry
# **Size of the total moment**: 0.5 μB per cell
# **Crystal system**: tetragonal
data_RbCuI2O
_chemical_formula_sum 'Rb1 Cu1 I2 O1'
_space_group_name_H-M_alt 'P 4/m m m'
_space_group_IT_number 123
_space_group_name_Hall '-P 4 2'
_cell_length_a 6.744
_cell_length_b 6.744
_cell_length_c 4.167
_cell_angle_alpha 90.00
_cell_angle_beta 90.00
_cell_angle_gamma 90.00
loop_
_atom_site_label
_atom_site_type_symbol
_atom_site_fract_x
_atom_site_fract_y
_atom_site_fract_z
Rb1 Rb 0.000 0.000 0.000
Cu1 Cu 0.500 0.500 0.500
I1 I 0.000 0.500 0.000
O1 O 0.000 0.000 0.500



Arrangement b

# RbCuI2O | Alexandria | PBE | optimized geometry
# **Size of the total moment**: 1.2 μB per cell
# **Crystal system**: tetragonal
data_RbCuI2O
_chemical_formula_sum 'Rb1 Cu1 I2 O1'
_space_group_name_H-M_alt 'P 4/m m m'
_space_group_IT_number 123
_space_group_name_Hall '-P 4 2'
_cell_length_a 6.505
_cell_length_b 6.505
_cell_length_c 3.558
_cell_angle_alpha 90.00
_cell_angle_beta 90.00
_cell_angle_gamma 90.00
loop_
_atom_site_label
_atom_site_type_symbol
_atom_site_fract_x
_atom_site_fract_y
_atom_site_fract_z
Rb1 Rb 0.000 0.000 0.000
Cu1 Cu 0.500 0.500 0.500
I1 I 0.000 0.500 0.500
O1 O 0.500 0.500 0.000



Stability summary: most stable arrangement b, least stable arrangement a.



Arrangement a

# CuRhIO2 | Alexandria | PBE | optimized geometry
# **Size of the total moment**: 2.4 μB per cell
# **Crystal system**: tetragonal
data_CuRhIO2
_chemical_formula_sum 'Cu1 Rh1 I1 O2'
_space_group_name_H-M_alt 'P 4/m m m'
_space_group_IT_number 123
_space_group_name_Hall '-P 4 2'
_cell_length_a 3.746
_cell_length_b 3.746
_cell_length_c 6.238
_cell_angle_alpha 90.00
_cell_angle_beta 90.00
_cell_angle_gamma 90.00
loop_
_atom_site_label
_atom_site_type_symbol
_atom_site_fract_x
_atom_site_fract_y
_atom_site_fract_z
Cu1 Cu 0.000 0.000 0.000
Rh1 Rh 0.500 0.500 0.500
I1 I 0.000 0.000 0.500
O1 O 0.000 0.500 0.000



Arrangement b

# CuRhIO2 | Alexandria | PBE | optimized geometry
# **Size of the total moment**: 0.7 μB per cell
# **Crystal system**: tetragonal
data_CuRhIO2
_chemical_formula_sum 'Cu1 Rh1 I1 O2'
_space_group_name_H-M_alt 'P 4/m m m'
_space_group_IT_number 123
_space_group_name_Hall '-P 4 2'
_cell_length_a 3.760
_cell_length_b 3.760
_cell_length_c 7.969
_cell_angle_alpha 90.00
_cell_angle_beta 90.00
_cell_angle_gamma 90.00
loop_
_atom_site_label
_atom_site_type_symbol
_atom_site_fract_x
_atom_site_fract_y
_atom_site_fract_z
Cu1 Cu 0.000 0.000 0.000
Rh1 Rh 0.500 0.500 0.500
I1 I 0.500 0.500 0.000
O1 O 0.000 0.500 0.500



Stability summary: most stable arrangement b, least stable arrangement a.